Na2GaTeS5 (GGA-PBE, relaxed); calculated total energy = -34.2 eV/f.u.; DOS(E_F) = 4.3 states/eV/f.u.; ΔE_f (raw) = -529.2 meV/atom; magnetization = 0.00 μB per formula unit
1.0
1.8222 -8.8969 0.0000
1.8222 8.8969 0.0000
0.0000 0.0000 13.0706
Na Ga Te S
4 2 2 10
Cartesian
1.8222 7.4023 6.5353
1.8222 6.8142 2.2172
1.8222 -6.8142 8.7525
1.8222 -7.4023 0.0000
1.8222 1.2707 3.6253
1.8222 -1.2707 10.1606
1.8222 4.7357 11.6101
1.8222 -4.7357 5.0748
1.8222 7.8455 11.5626
1.8222 4.3200 6.9444
1.8222 3.6231 3.1525
1.8222 2.4268 11.0374
1.8222 0.1211 1.7209
1.8222 -0.1211 8.2562
1.8222 -2.4268 4.5021
1.8222 -3.6231 9.6878
1.8222 -4.3200 0.4091
1.8222 -7.8455 5.0273